Entry 1:
DFT (PBE-GGA) results for a relaxed structure of ScSeSN2.

Lattice parameters (Å, degrees): 3.7520 3.7520 4.7927 90.00 90.00 90.00
Each line ends with the local moment (μB).
Fractional positions:
Sc: 0.5000 0.5000 0.5000  -0.01
S: 0.0000 0.0000 0.0000  -0.01
Se: 0.0000 0.0000 0.5000  0.00
N: 0.0000 0.5000 0.0000  0.07
N: 0.5000 0.0000 0.0000  0.07

Results
Volume in Å³/cell: 67
SG: P4/mmm

---

Entry 2:
DFT (PBE-GGA) results for a relaxed structure of ScSeSN2.

Lattice parameters (Å, degrees): 4.1892 4.1892 5.2699 90.00 90.00 90.00
Each line ends with the local moment (μB).
Fractional positions:
Sc: 0.0000 0.0000 0.0000  0.02
S: 0.0000 0.0000 0.5000  0.05
Se: 0.5000 0.5000 0.5000  0.12
N: 0.0000 0.5000 0.0000  1.06
N: 0.5000 0.0000 0.0000  1.06

Results
Volume in Å³/cell: 92
SG: P4/mmm

---

Entry 3:
DFT (PBE-GGA) results for a relaxed structure of Sc8Se4S3N.

Lattice parameters (Å, degrees): 7.4061 7.5230 7.4060 119.49 120.00 90.00
Fractional positions:
Sc: 0.2196 0.7071 0.9874
Sc: 0.2197 0.7071 0.4394
Sc: 0.2593 0.2778 0.5185
Sc: 0.7678 0.7071 0.9874
Sc: 0.2322 0.2929 0.0126
Sc: 0.7407 0.7222 0.4815
Sc: 0.7803 0.2929 0.5606
Sc: 0.7804 0.2929 0.0126
Se: 0.5000 0.0000 0.0000
Se: 0.5000 0.0000 0.5000
Se: 0.0000 0.0000 0.0000
Se: 0.0000 0.0000 0.5000
S: 0.5000 0.5000 0.0000
S: 0.5000 0.5000 0.5000
S: 0.0000 0.5000 0.5000
N: 0.0000 0.5000 0.0000

Results
Volume in Å³/cell: 294
SG: R-3m

---

Entry 4:
DFT (PBE-GGA) results for a relaxed structure of Sc4Se2SN.

Lattice parameters (Å, degrees): 3.5935 6.3143 6.5033 108.52 90.00 90.00
Fractional positions:
Sc: 0.5000 0.2091 0.1997
Sc: 0.5000 0.7909 0.8003
Sc: 0.0000 0.2309 0.7949
Sc: 0.0000 0.7691 0.2051
Se: 0.5000 0.0000 0.5000
Se: 0.0000 0.5000 0.5000
S: 0.5000 0.5000 0.0000
N: 0.0000 0.0000 0.0000

Results
Volume in Å³/cell: 140
SG: P2/m

---

Entry 5:
DFT (PBE-GGA) results for a relaxed structure of ScSeSN2.

Lattice parameters (Å, degrees): 3.8530 3.8530 4.7600 90.00 90.00 90.00
Fractional positions:
Sc: 0.5000 0.5000 0.5000
S: 0.0000 0.0000 0.5000
Se: 0.0000 0.0000 0.0000
N: 0.0000 0.5000 0.0000
N: 0.5000 0.0000 0.0000

Results
Volume in Å³/cell: 71
SG: P4/mmm

---

Entry 6:
DFT (PBE-GGA) results for a relaxed structure of SrScS2N.

Lattice parameters (Å, degrees): 5.0568 5.0568 4.2228 90.00 90.00 90.00
Each line ends with the local moment (μB).
Fractional positions:
Sc: 0.0000 0.0000 0.0000  -0.02
Sr: 0.5000 0.5000 0.5000  0.00
S: 0.0000 0.5000 0.0000  0.17
S: 0.5000 0.0000 0.0000  0.17
N: 0.0000 0.0000 0.5000  1.00

Results
Volume in Å³/cell: 108
SG: P4/mmm

---

Entry 7:
DFT (PBE-GGA) results for a relaxed structure of SrScS2N.

Lattice parameters (Å, degrees): 5.3827 5.3827 4.3352 90.00 90.00 90.00
Each line ends with the local moment (μB).
Fractional positions:
Sc: 0.5000 0.5000 0.5000  -0.28
Sr: 0.0000 0.0000 0.0000  0.00
S: 0.0000 0.5000 0.0000  0.16
S: 0.5000 0.0000 0.0000  0.16
N: 0.0000 0.0000 0.5000  0.69

Results
Volume in Å³/cell: 126
SG: P4/mmm

---

Entry 8:
DFT (PBE-GGA) results for a relaxed structure of ScTaS2N.

Lattice parameters (Å, degrees): 4.8094 4.8094 3.8528 90.00 90.00 90.00
Fractional positions:
Sc: 0.0000 0.0000 0.0000
S: 0.0000 0.5000 0.0000
S: 0.5000 0.0000 0.0000
N: 0.0000 0.0000 0.5000
Ta: 0.5000 0.5000 0.5000

Results
Volume in Å³/cell: 89
SG: P4/mmm

---

Number 1: formation energy (no corrections) 0.762 eV/atom. Number 2: formation energy (no corrections) 0.876 eV/atom. Number 3: formation energy (no corrections) -1.722 eV/atom. Number 4: formation energy (no corrections) -1.697 eV/atom. Number 5: formation energy (no corrections) 0.655 eV/atom. Number 6: formation energy (no corrections) -1.054 eV/atom. Number 7: formation energy (no corrections) 0.399 eV/atom. Number 8: formation energy (no corrections) 0.386 eV/atom.